## Y2MnZnN (GGA-PBE)

Data for an optimized crystal structure of Y2MnZnN.

The space group is P4/mmm (No. 123) and the conventional cell measures 4.912, 4.912 and 3.656 Å, with angles of 90.00, 90.00 and 90.00 degrees. The distinct sites, in fractional coordinates, are Y at (0.000, 0.500, 0.000), Mn at (0.000, 0.000, 0.500), Zn at (0.500, 0.500, 0.500) and N at (0.000, 0.000, 0.000).

The calculation puts the formation energy from raw total energies at -3.53 eV per formula unit. The value obtained for the density of states at the Fermi level is 2.49 states/eV/cell.